No. 1
# LaAlHPd2 (PBE, optimized geometry)
data_LaAlHPd2
_space_group_name_H-M_alt 'C m c m'
_space_group_IT_number 63
_space_group_name_Hall '-C 2c 2'
_cell_length_a 3.9661
_cell_length_b 11.2999
_cell_length_c 7.4480
_cell_angle_alpha 90.00
_cell_angle_beta 90.00
_cell_angle_gamma 90.00
loop_
_atom_site_label
_atom_site_fract_x
_atom_site_fract_y
_atom_site_fract_z
_atom_site_occupancy
La1 0.0000 0.0607 0.2500 1
Al1 0.0000 0.2208 0.7500 1
H1 0.0000 0.5000 0.0000 1
Pd1 0.0000 0.3408 0.0549 1
# **Raw total energy**: -5.279 eV/atom
# **Crystal system**: orthorhombic

=====

No. 2
# BaSr4Rh (PBE, optimized geometry)
data_BaSr4Rh
_space_group_name_H-M_alt 'C 1 2/m 1'
_space_group_IT_number 12
_cell_length_a 19.7528
_cell_length_b 8.3473
_cell_length_c 7.1301
_cell_angle_alpha 90.00
_cell_angle_beta 105.84
_cell_angle_gamma 90.00
loop_
_space_group_symop_operation_xyz
'x,y,z'
'-x,-y,-z'
'-x,y,-z'
'x,-y,z'
'x+1/2,y+1/2,z'
'-x+1/2,-y+1/2,-z'
'-x+1/2,y+1/2,-z'
'x+1/2,-y+1/2,z'
loop_
_atom_site_label
_atom_site_fract_x
_atom_site_fract_y
_atom_site_fract_z
_atom_site_occupancy
Ba1 0.1967 0.0000 0.1798 1
Sr1 0.0000 0.2662 0.0000 1
Sr2 0.1040 0.2563 0.6113 1
Sr3 0.1776 0.5000 0.2228 1
Rh1 0.0279 0.5000 0.3440 1
# **E_form**: -0.1032 eV per atom
# **Distance to the lowest polymorph of the same formula**: 0.037 eV per atom
# **Crystal system**: monoclinic

=====

| no. | size of the total moment (μB per formula unit) |
| --- | --- |
| 1 | 0.00 |
| 2 | 0.00 |